Record 1
A geometry-optimized LiPt2CCl structure. Source: Alexandria, functional PBE.

Cell and atoms, written as extended XYZ:
```
5
Lattice="4.604 0.000 0.000 0.000 4.604 0.000 0.000 0.000 4.066" Properties=species:S:1:pos:R:3 pbc="T T T"
Li 0.000 0.000 0.000
Pt 0.000 2.302 2.033
Pt 2.302 0.000 2.033
C 2.302 2.302 0.000
Cl 0.000 0.000 2.033
```

Summary:
- Raw total energy: -17.30 eV per cell
- Formation energy (no corrections): 1.55 eV per atom
- N(E_F): 0.496 states/eV/atom

---

Record 2
A geometry-optimized Y2MnGe structure. Source: Alexandria, functional PBE.

Cell and atoms, written as extended XYZ:
```
4
Lattice="4.197 0.000 0.000 0.000 2.004 5.519 0.000 -2.004 5.519" Properties=species:S:1:pos:R:3 pbc="T T T"
Y 0.000 0.000 0.000
Y 2.099 0.000 3.177
Mn 0.000 0.000 7.866
Ge 2.099 0.000 6.343
```

Summary:
- Energy of formation: -425 meV/atom
- Raw total energy: -28.42 eV per cell
- N(E_F): 1.042 states/eV/atom

---

Record 3
A geometry-optimized LaNiSn3 structure. Source: Alexandria, functional PBE.

Cell and atoms, written as extended XYZ:
```
5
Lattice="5.051 0.000 0.000 0.000 5.051 0.000 0.000 0.000 5.051" Properties=species:S:1:pos:R:3 pbc="T T T"
La 0.000 0.000 0.000
Ni 2.525 2.525 2.525
Sn 0.000 2.525 2.525
Sn 2.525 0.000 2.525
Sn 2.525 2.525 0.000
```

Summary:
- Energy of formation: -264 meV/atom
- Raw total energy: -24.04 eV per cell
- N(E_F): 0.816 states/eV/atom

---

Record 4
A geometry-optimized Ho6MgCd structure. Source: Alexandria, functional PBE.

Cell and atoms, written as extended XYZ:
```
8
Lattice="6.140 0.000 0.000 -0.044 6.141 0.000 -0.014 -0.043 6.149" Properties=species:S:1:pos:R:3 pbc="T T T"
Ho 0.118 0.110 1.529
Ho 1.496 3.166 3.217
Ho 2.914 1.500 6.029
Ho 3.169 4.598 0.120
Ho 4.586 2.932 2.932
Ho 5.964 5.988 4.620
Mg 3.063 -0.022 3.075
Cd -0.022 3.071 0.000
```

Summary:
- Energy of formation: 23 meV/atom
- Raw total energy: -29.79 eV per cell
- N(E_F): 1.225 states/eV/atom

---

Short version: ρ = 8.6; 5.5; 7.1; 8.1 g cm⁻³, in the order given.